(1)
## ScAgPd3 (PBE)

Data for crystalline ScAgPd3 at its relaxed geometry.

Summary:
E_tot   -5.402 eV/atom
Energy relative to the lowest polymorph listed for this composition   0 meV per atom
Formation energy from the elements   -2.25 eV/f.u.
Total magnetic moment   0.00 μB/atom

Lattice parameters (Å, degrees): 4.3129 5.6221 7.4638 90.00 90.00 90.00
Fractional coordinates of all 10 atoms:
1 Sc 0.2500 0.2500 0.1496
2 Sc 0.7500 0.7500 0.8504
3 Ag 0.2500 0.7500 0.4446
4 Ag 0.7500 0.2500 0.5554
5 Pd 0.2500 0.0111 0.7551
6 Pd 0.2500 0.4889 0.7551
7 Pd 0.2500 0.7500 0.0775
8 Pd 0.7500 0.2500 0.9225
9 Pd 0.7500 0.5111 0.2449
10 Pd 0.7500 0.9889 0.2449

---

(2)
## Sc2AgPd3 (PBE)

Data for crystalline Sc2AgPd3 at its relaxed geometry.

Summary:
E_tot   -5.705 eV/atom
Energy relative to the lowest polymorph listed for this composition   14 meV per atom
Formation energy from the elements   -3.14 eV/f.u.
Total magnetic moment   0.00 μB/atom

Lattice parameters (Å, degrees): 8.4386 8.4386 8.4386 115.66 115.66 97.69
Fractional coordinates of all 24 atoms:
1 Sc 0.2637 0.3287 0.5651
2 Sc 0.2637 0.6986 0.9349
3 Sc 0.3014 0.7363 0.5651
4 Sc 0.3287 0.2637 0.0651
5 Sc 0.6713 0.7363 0.9349
6 Sc 0.6986 0.2637 0.4349
7 Sc 0.7363 0.3014 0.0651
8 Sc 0.7363 0.6713 0.4349
9 Ag 0.0053 0.2553 0.7500
10 Ag 0.2553 0.0053 0.2500
11 Ag 0.7447 0.9947 0.7500
12 Ag 0.9947 0.7447 0.2500
13 Pd 0.0000 0.5000 0.5000
14 Pd 0.0964 0.3464 0.1928
15 Pd 0.0964 0.9036 0.7500
16 Pd 0.3464 0.0964 0.6928
17 Pd 0.3464 0.6536 0.2500
18 Pd 0.5000 0.0000 0.0000
19 Pd 0.5000 0.5000 0.0000
20 Pd 0.5000 0.5000 0.5000
21 Pd 0.6536 0.3464 0.7500
22 Pd 0.6536 0.9036 0.3072
23 Pd 0.9036 0.0964 0.2500
24 Pd 0.9036 0.6536 0.8072